[1]
Below is crystalline CaBeSn at its relaxed geometry, with properties calculated at the PBE-GGA level.

Properties
* Fermi-level density of states: 1.06 states/eV/f.u.
* calculated formation energy: -0.22 eV per atom
* spin magnetization: 0.00 μB/f.u.

```
data_CaBeSn
_cell_length_a 12.406
_cell_length_b 3.966
_cell_length_c 5.669
_cell_angle_alpha 90.00
_cell_angle_beta 98.33
_cell_angle_gamma 90.00
_symmetry_space_group_name_H-M 'C 1 2/m 1'
_symmetry_Int_Tables_number 12
_symmetry_space_group_name_Hall '-C 2y'
loop_
_atom_site_label
_atom_site_fract_x
_atom_site_fract_y
_atom_site_fract_z
Ca1 0.115 0.000 0.322
Be1 0.229 0.000 0.897
Sn1 0.108 0.500 0.797
```

=====

[2]
Below is crystalline KDyO3 at its relaxed geometry, with properties calculated at the PBE-GGA level.

Properties
* Fermi-level density of states: 5.02 states/eV/f.u.
* formation energy from raw total energies: -1880 meV per atom
* spin magnetization: 2.00 μB/f.u.

```
data_KDyO3
_cell_length_a 4.477
_cell_length_b 4.477
_cell_length_c 4.477
_cell_angle_alpha 90.00
_cell_angle_beta 90.00
_cell_angle_gamma 90.00
_symmetry_space_group_name_H-M 'P m -3 m'
_symmetry_Int_Tables_number 221
_symmetry_space_group_name_Hall '-P 4 2 3'
loop_
_atom_site_label
_atom_site_fract_x
_atom_site_fract_y
_atom_site_fract_z
K1 0.000 0.000 0.000
Dy1 0.500 0.500 0.500
O1 0.000 0.500 0.500
```

=====

[3]
Below is crystalline Pr2YRu at its relaxed geometry, with properties calculated at the PBE-GGA level.

Properties
* Fermi-level density of states: 3.30 states/eV/f.u.
* calculated formation energy: -0.18 eV per atom
* relative energy among the computed polymorphs: 26 meV/atom
* spin magnetization: 0.00 μB/f.u.

```
data_Pr2YRu
_cell_length_a 4.072
_cell_length_b 12.164
_cell_length_c 9.400
_cell_angle_alpha 90.00
_cell_angle_beta 90.00
_cell_angle_gamma 90.00
_symmetry_space_group_name_H-M 'C m c m'
_symmetry_Int_Tables_number 63
_symmetry_space_group_name_Hall '-C 2c 2'
loop_
_atom_site_label
_atom_site_fract_x
_atom_site_fract_y
_atom_site_fract_z
Pr1 0.000 0.141 0.068
Y1 0.000 0.419 0.250
Ru1 0.000 0.240 0.750
```

=====

[4]
Below is crystalline KSi2P at its relaxed geometry, with properties calculated at the PBE-GGA level.

Properties
* Fermi-level density of states: 2.68 states/eV/f.u.
* formation energy from raw total energies: 342 meV per atom
* relative energy among the computed polymorphs: 244 meV/atom
* spin magnetization: 0.00 μB/f.u.

```
data_KSi2P
_cell_length_a 3.264
_cell_length_b 5.796
_cell_length_c 9.561
_cell_angle_alpha 90.00
_cell_angle_beta 90.00
_cell_angle_gamma 90.00
_symmetry_space_group_name_H-M 'I m m m'
_symmetry_Int_Tables_number 71
_symmetry_space_group_name_Hall '-I 2 2'
loop_
_atom_site_label
_atom_site_fract_x
_atom_site_fract_y
_atom_site_fract_z
K1 0.000 0.000 0.000
Si1 0.000 0.500 0.181
P1 0.000 0.000 0.500
```